A relaxed CsLa2TcPb crystal. Source: Alexandria via LeMat-Bulk, functional GGA-PBEsol.

Properties
E_form	1.57	eV/f.u.

Lattice parameters (Å, degrees): 5.3937 5.3937 5.4929 90.00 90.00 90.00
Last column: nearest neighbours and their distance in Å.
Sites, in units of the cell vectors:
Cs (0.0000, 0.0000, 0.5000)  2 Tc 2.75
Tc (0.0000, 0.0000, 0.0000)  4 La 2.70, 2 Cs 2.75
La (0.0000, 0.5000, 0.0000)  2 Tc 2.70
Pb (0.5000, 0.5000, 0.5000)  4 Cs 3.81, 8 La 3.85
La (0.5000, 0.0000, 0.0000)  2 Tc 2.70

=====

A relaxed CsLa2ZrPb crystal. Source: Alexandria via LeMat-Bulk, functional GGA-PBEsol.

Properties
E_form	7.07	eV/f.u.

Lattice parameters (Å, degrees): 5.6684 5.6684 5.9124 90.00 90.00 90.00
Last column: nearest neighbours and their distance in Å.
Sites, in units of the cell vectors:
La (0.5000, 0.0000, 0.0000)  2 Cs 2.83
La (0.0000, 0.5000, 0.0000)  2 Cs 2.83
Cs (0.0000, 0.0000, 0.0000)  4 La 2.83, 2 Pb 2.96
Pb (0.0000, 0.0000, 0.5000)  2 Cs 2.96
Zr (0.5000, 0.5000, 0.5000)  4 Pb 4.01, 8 La 4.10

=====

A relaxed CsRbLa2 crystal. Source: Alexandria via LeMat-Bulk, functional GGA-PBEsol.

Properties
E_form	3.37	eV/f.u.

Lattice parameters (Å, degrees): 6.3573 6.3573 6.3573 60.00 60.00 60.00
Last column: nearest neighbours and their distance in Å.
Sites, in units of the cell vectors:
Rb (0.0000, 0.0000, 0.0000)  8 La 3.89
La (0.7500, 0.7500, 0.7500)  4 Cs 3.89, 4 Rb 3.89
Cs (0.5000, 0.5000, 0.5000)  8 La 3.89
La (0.2500, 0.2500, 0.2500)  4 Rb 3.89, 4 Cs 3.89

=====

A relaxed CsLa3Rh crystal. Source: Alexandria via LeMat-Bulk, functional GGA-PBEsol.

Properties
E_form	0.02	eV/f.u.

Lattice parameters (Å, degrees): 5.7362 5.7362 5.7362 90.00 90.00 90.00
Last column: nearest neighbours and their distance in Å.
Sites, in units of the cell vectors:
Rh (0.0000, 0.0000, 0.0000)  6 La 2.87
La (0.0000, 0.5000, 0.0000)  2 Rh 2.87
La (0.0000, 0.0000, 0.5000)  2 Rh 2.87
La (0.5000, 0.0000, 0.0000)  2 Rh 2.87
Cs (0.5000, 0.5000, 0.5000)  12 La 4.06

=====

A relaxed CsLaRu3 crystal. Source: Alexandria via LeMat-Bulk, functional GGA-PBEsol.

Properties
E_form	9.50	eV/f.u.

Lattice parameters (Å, degrees): 5.0197 5.0197 5.0197 90.00 90.00 90.00
Last column: nearest neighbours and their distance in Å.
Sites, in units of the cell vectors:
Ru (0.0000, 0.0000, 0.5000)  2 La 2.51
Ru (0.0000, 0.5000, 0.0000)  2 La 2.51
Ru (0.5000, 0.0000, 0.0000)  2 La 2.51
La (0.0000, 0.0000, 0.0000)  6 Ru 2.51
Cs (0.5000, 0.5000, 0.5000)  12 Ru 3.55

=====

A relaxed CsLaRu3 crystal. Source: Alexandria via LeMat-Bulk, functional GGA-PBEsol.

Properties
E_form	10.24	eV/f.u.

Lattice parameters (Å, degrees): 4.8585 4.8585 4.8585 90.00 90.00 90.00
Last column: nearest neighbours and their distance in Å.
Sites, in units of the cell vectors:
La (0.5000, 0.5000, 0.5000)  12 Ru 3.44
Ru (0.0000, 0.0000, 0.5000)  2 Cs 2.43
Cs (0.0000, 0.0000, 0.0000)  6 Ru 2.43
Ru (0.0000, 0.5000, 0.0000)  2 Cs 2.43
Ru (0.5000, 0.0000, 0.0000)  2 Cs 2.43

=====

A relaxed CsLa2TcS crystal. Source: Alexandria via LeMat-Bulk, functional GGA-PBEsol.

Properties
formation energy without anion corrections	-0.0853	eV per atom

Lattice parameters (Å, degrees): 4.3903 5.6467 5.6467 90.00 90.00 90.00
Last column: nearest neighbours and their distance in Å.
Sites, in units of the cell vectors:
S (0.0000, 0.0000, 0.0000)  2 Tc 2.20
Tc (0.5000, 0.0000, 0.0000)  2 S 2.20
Cs (0.5000, 0.5000, 0.5000)  8 La 3.58, 4 Tc 3.99
La (0.0000, 0.0000, 0.5000)  2 S 2.82
La (0.0000, 0.5000, 0.0000)  2 S 2.82

=====

A relaxed CsLa2SiSb crystal. Source: Alexandria via LeMat-Bulk, functional GGA-PBEsol.

Properties
formation energy without anion corrections	0.9981	eV per atom

Lattice parameters (Å, degrees): 5.1612 5.7909 5.7909 90.00 90.00 90.00
Last column: nearest neighbours and their distance in Å.
Sites, in units of the cell vectors:
La (0.0000, 0.0000, 0.5000)  2 Cs 2.90
La (0.0000, 0.5000, 0.0000)  2 Cs 2.90
Si (0.5000, 0.0000, 0.0000)  2 Cs 2.58
Cs (0.0000, 0.0000, 0.0000)  2 Si 2.58
Sb (0.5000, 0.5000, 0.5000)  8 La 3.88, 4 Si 4.09

=====

A relaxed Cs2LaTcSb crystal. Source: Alexandria via LeMat-Bulk, functional GGA-PBEsol.

Properties
formation energy without anion corrections	0.9286	eV per atom

Lattice parameters (Å, degrees): 4.5629 6.8553 6.8553 90.00 90.00 90.00
Last column: nearest neighbours and their distance in Å.
Sites, in units of the cell vectors:
Sb (0.5000, 0.5000, 0.5000)  8 Cs 4.12, 2 Sb 4.56
Cs (0.0000, 0.0000, 0.5000)  2 La 3.43
Cs (0.0000, 0.5000, 0.0000)  2 La 3.43
La (0.0000, 0.0000, 0.0000)  2 Tc 2.28
Tc (0.5000, 0.0000, 0.0000)  2 La 2.28

=====

A relaxed CsLaSbTe2 crystal. Source: Alexandria via LeMat-Bulk, functional GGA-PBEsol.

Properties
formation energy without anion corrections	0.5404	eV per atom

Lattice parameters (Å, degrees): 5.8989 5.9187 5.9187 90.00 90.00 90.00
Last column: nearest neighbours and their distance in Å.
Sites, in units of the cell vectors:
La (0.5000, 0.5000, 0.5000)  8 Te 4.18, 4 Sb 4.19
Te (0.0000, 0.0000, 0.5000)  2 Cs 2.96
Te (0.0000, 0.5000, 0.0000)  2 Cs 2.96
Sb (0.5000, 0.0000, 0.0000)  2 Cs 2.95
Cs (0.0000, 0.0000, 0.0000)  2 Sb 2.95, 4 Te 2.96

=====

A relaxed CsLaSi2 crystal. Source: Alexandria via LeMat-Bulk, functional GGA-PBEsol.

Properties
formation energy without anion corrections	0.3872	eV per atom

Lattice parameters (Å, degrees): 5.0714 5.0714 11.1893 103.10 103.10 90.00
Last column: nearest neighbours and their distance in Å.
Sites, in units of the cell vectors:
Si (0.6250, 0.8750, 0.7500)  2 Si 2.54
Si (0.1250, 0.8750, 0.2500)  2 Si 2.54
La (0.0000, 0.0000, 0.0000)  4 Si 2.94
Si (0.1250, 0.3750, 0.2500)  2 Si 2.54
Cs (0.7500, 0.2500, 0.5000)  4 La 3.59, 8 Si 3.88
Si (0.1250, 0.8750, 0.7500)  2 Si 2.54
Cs (0.5000, 0.5000, 0.0000)  4 La 3.59, 8 Si 3.88
La (0.2500, 0.7500, 0.5000)  4 Si 2.94

=====

A relaxed CsLa3W crystal. Source: Alexandria via LeMat-Bulk, functional GGA-PBEsol.

Properties
E_form	3.13	eV/f.u.

Lattice parameters (Å, degrees): 5.7121 5.7121 5.7121 90.00 90.00 90.00
Last column: nearest neighbours and their distance in Å.
Sites, in units of the cell vectors:
La (0.0000, 0.0000, 0.5000)  2 W 2.86
W (0.0000, 0.0000, 0.0000)  6 La 2.86
La (0.0000, 0.5000, 0.0000)  2 W 2.86
La (0.5000, 0.0000, 0.0000)  2 W 2.86
Cs (0.5000, 0.5000, 0.5000)  12 La 4.04

=====

no.,ρ (Mg/m³),VASP energy (eV per atom)
1,7.4,-5.066
2,6.2,-3.531
3,4.5,-2.323
4,5.7,-5.019
5,7.5,-5.461
6,8.3,-5.313
7,6.4,-5.542
8,5.4,-3.390
9,4.8,-3.682
10,5.2,-3.039
11,4.0,-4.058
12,6.5,-5.531